Record 1
Entry from Alexandria: a relaxed BaCo2Hg crystal (PBE).

Properties
Density (g/cm3): 7.25
Calculated formation energy (eV per atom): 0.405

a = 4.769 Å, b = 4.769 Å, c = 9.785 Å
α = 75.90°, β = 75.90°, γ = 90.00°
Site moments in Bohr magnetons follow the coordinates.
Sites, in units of the cell vectors:
1 Ba 0.500 0.500 0.000  -0.10
2 Ba 0.250 0.750 0.500  -0.10
3 Hg 0.000 0.000 0.000  -0.07
4 Hg 0.750 0.250 0.500  -0.07
5 Co 0.875 0.125 0.250  1.57
6 Co 0.875 0.625 0.250  1.58
7 Co 0.375 0.125 0.750  1.39
8 Co 0.875 0.125 0.750  1.40


Record 2
Entry from Alexandria: a relaxed BaCo2Hg crystal (PBE).

Properties
Density (g/cm3): 7.83
Calculated formation energy (eV per atom): 0.189

a = 4.475 Å, b = 4.475 Å, c = 6.141 Å
α = 68.73°, β = 68.73°, γ = 60.01°
Site moments in Bohr magnetons follow the coordinates.
Sites, in units of the cell vectors:
1 Co 0.427 0.427 0.718  1.36
2 Co 0.073 0.073 0.782  1.36
3 Hg 0.750 0.750 0.750  -0.06
4 Ba 0.250 0.250 0.250  -0.10


Record 3
Entry from Alexandria: a relaxed BaCo2Hg crystal (PBE).

Properties
Density (g/cm3): 9.24
Calculated formation energy (eV per atom): 0.808

a = 4.820 Å, b = 4.820 Å, c = 3.524 Å
α = 90.00°, β = 90.00°, γ = 90.07°
Site moments in Bohr magnetons follow the coordinates.
Sites, in units of the cell vectors:
1 Co 0.000 0.000 0.000  1.26
2 Co 0.500 0.500 0.000  1.26
3 Hg 0.500 0.000 0.500  -0.04
4 Ba 0.000 0.500 0.500  -0.13


Record 4
Entry from Alexandria: a relaxed Ba2CoHg crystal (PBE).

Properties
Density (g/cm3): 5.68
Calculated formation energy (eV per atom): 0.026

a = 8.822 Å, b = 8.822 Å, c = 8.822 Å
α = 30.45°, β = 30.45°, γ = 30.45°
Site moments in Bohr magnetons follow the coordinates.
Sites, in units of the cell vectors:
1 Ba 0.211 0.211 0.211  -0.04
2 Ba 0.040 0.040 0.040  -0.04
3 Co 0.458 0.458 0.458  1.20
4 Hg 0.792 0.792 0.792  -0.03


Record 5
Entry from Alexandria: a relaxed Ba2CoHg crystal (PBE).

Properties
Density (g/cm3): 5.96
Calculated formation energy (eV per atom): 0.199

a = 4.437 Å, b = 4.437 Å, c = 9.054 Å
α = 75.44°, β = 75.44°, γ = 60.74°
Site moments in Bohr magnetons follow the coordinates.
Sites, in units of the cell vectors:
1 Ba 0.515 0.515 0.456  -0.09
2 Ba 0.985 0.985 0.044  -0.09
3 Co 0.250 0.250 0.250  1.18
4 Hg 0.750 0.750 0.750  -0.01


Record 6
Entry from Alexandria: a relaxed Ba2CoHg crystal (PBE).

Properties
Density (g/cm3): 7.52
Calculated formation energy (eV per atom): 0.359

a = 5.506 Å, b = 5.506 Å, c = 5.506 Å
α = 60.00°, β = 60.00°, γ = 60.00°
Site moments in Bohr magnetons follow the coordinates.
Sites, in units of the cell vectors:
1 Ba 0.250 0.250 0.250  -0.07
2 Ba 0.000 0.000 0.000  -0.04
3 Co 0.500 0.500 0.500  1.67
4 Hg 0.750 0.750 0.750  0.00